Record 1
# YAgCl (GGA-PBE, optimized geometry)
# * uncorrected formation energy: -0.762 eV/atom
# * volume: 27.56 Å³/atom
# * energy relative to the lowest polymorph listed for this composition: 51 meV per atom
data_YAgCl
_symmetry_space_group_name_H-M 'A m m 2'
_symmetry_Int_Tables_number 38
_symmetry_space_group_name_Hall 'A 2 -2'
_cell_length_a 14.664
_cell_length_b 3.609
_cell_length_c 6.251
_cell_angle_alpha 90.00
_cell_angle_beta 90.00
_cell_angle_gamma 90.00
loop_
_atom_site_label
_atom_site_type_symbol
_atom_site_fract_x
_atom_site_fract_y
_atom_site_fract_z
Y1 Y 0.150 0.000 0.000
Ag1 Ag 0.000 0.000 0.667
Ag2 Ag 0.500 0.000 0.645
Cl1 Cl 0.275 0.000 0.667

=====

Record 2
# YAgCl (GGA-PBE, optimized geometry)
# * uncorrected formation energy: -0.812 eV/atom
# * volume: 28.47 Å³/atom
# * energy relative to the lowest polymorph listed for this composition: 0 meV per atom
data_YAgCl
_symmetry_space_group_name_H-M 'P 3 m 1'
_symmetry_Int_Tables_number 156
_symmetry_space_group_name_Hall 'P 3 -2"'
_cell_length_a 3.7057
_cell_length_b 3.7057
_cell_length_c 7.1819
_cell_angle_alpha 90.00
_cell_angle_beta 90.00
_cell_angle_gamma 120.00
loop_
_atom_site_label
_atom_site_type_symbol
_atom_site_fract_x
_atom_site_fract_y
_atom_site_fract_z
Y1 Y 0.0000 0.0000 0.0000
Ag1 Ag 0.6667 0.3333 0.2931
Cl1 Cl 0.3333 0.6667 0.7542

=====

Record 3
# Y2Ag5Cl12 (GGA-PBE, optimized geometry)
# * uncorrected formation energy: -1.170 eV/atom
# * volume: 27.16 Å³/atom
data_Y2Ag5Cl12
_symmetry_space_group_name_H-M 'C 1 2/m 1'
_symmetry_Int_Tables_number 12
_symmetry_space_group_name_Hall '-C 2y'
_cell_length_a 14.012
_cell_length_b 7.627
_cell_length_c 9.998
_cell_angle_alpha 90.00
_cell_angle_beta 104.99
_cell_angle_gamma 90.00
loop_
_atom_site_label
_atom_site_type_symbol
_atom_site_fract_x
_atom_site_fract_y
_atom_site_fract_z
Y1 Y 0.000 0.249 0.000
Ag1 Ag 0.000 0.000 0.500
Ag2 Ag 0.213 0.500 0.383
Ag3 Ag 0.219 0.500 0.687
Cl1 Cl 0.052 0.500 0.847
Cl2 Cl 0.053 0.000 0.849
Cl3 Cl 0.129 0.242 0.524
Cl4 Cl 0.180 0.257 0.165

=====

Record 4
# YAg2Cl (GGA-PBE, optimized geometry)
# * uncorrected formation energy: -0.449 eV/atom
# * volume: 24.05 Å³/atom
# * energy relative to the lowest polymorph listed for this composition: 127 meV per atom
data_YAg2Cl
_symmetry_space_group_name_H-M 'C m m m'
_symmetry_Int_Tables_number 65
_symmetry_space_group_name_Hall '-C 2 2'
_cell_length_a 5.371
_cell_length_b 9.470
_cell_length_c 3.783
_cell_angle_alpha 90.00
_cell_angle_beta 90.00
_cell_angle_gamma 90.00
loop_
_atom_site_label
_atom_site_type_symbol
_atom_site_fract_x
_atom_site_fract_y
_atom_site_fract_z
Y1 Y 0.000 0.000 0.000
Ag1 Ag 0.250 0.250 0.500
Cl1 Cl 0.000 0.500 0.000

=====

Record 5
# YAg2Cl (GGA-PBE, optimized geometry)
# * uncorrected formation energy: -0.515 eV/atom
# * volume: 23.47 Å³/atom
# * energy relative to the lowest polymorph listed for this composition: 61 meV per atom
data_YAg2Cl
_symmetry_space_group_name_H-M 'C 1 m 1'
_symmetry_Int_Tables_number 8
_symmetry_space_group_name_Hall 'C -2y'
_cell_length_a 9.896
_cell_length_b 3.433
_cell_length_c 6.064
_cell_angle_alpha 90.00
_cell_angle_beta 114.29
_cell_angle_gamma 90.00
loop_
_atom_site_label
_atom_site_type_symbol
_atom_site_fract_x
_atom_site_fract_y
_atom_site_fract_z
Y1 Y 0.000 0.000 0.000
Ag1 Ag 0.191 0.500 0.442
Ag2 Ag 0.436 0.000 0.530
Cl1 Cl 0.274 0.000 0.978

=====

Record 6
# YAgCl2 (GGA-PBE, optimized geometry)
# * uncorrected formation energy: -1.034 eV/atom
# * volume: 25.38 Å³/atom
# * energy relative to the lowest polymorph listed for this composition: 211 meV per atom
data_YAgCl2
_symmetry_space_group_name_H-M 'P 4 m m'
_symmetry_Int_Tables_number 99
_symmetry_space_group_name_Hall 'P 4 -2'
_cell_length_a 3.626
_cell_length_b 3.626
_cell_length_c 7.720
_cell_angle_alpha 90.00
_cell_angle_beta 90.00
_cell_angle_gamma 90.00
loop_
_atom_site_label
_atom_site_type_symbol
_atom_site_fract_x
_atom_site_fract_y
_atom_site_fract_z
Y1 Y 0.000 0.000 0.000
Ag1 Ag 0.500 0.500 0.213
Cl1 Cl 0.000 0.000 0.361
Cl2 Cl 0.500 0.500 0.775

=====

Record 7
# YAgCl2 (GGA-PBE, optimized geometry)
# * uncorrected formation energy: -1.245 eV/atom
# * volume: 33.94 Å³/atom
# * energy relative to the lowest polymorph listed for this composition: 0 meV per atom
data_YAgCl2
_symmetry_space_group_name_H-M 'C 1 m 1'
_symmetry_Int_Tables_number 8
_symmetry_space_group_name_Hall 'C -2y'
_cell_length_a 12.456
_cell_length_b 3.595
_cell_length_c 7.284
_cell_angle_alpha 90.00
_cell_angle_beta 123.67
_cell_angle_gamma 90.00
loop_
_atom_site_label
_atom_site_type_symbol
_atom_site_fract_x
_atom_site_fract_y
_atom_site_fract_z
Y1 Y 0.000 0.000 0.000
Ag1 Ag 0.211 0.500 0.332
Cl1 Cl 0.350 0.000 0.023
Cl2 Cl 0.490 0.000 0.719

=====

Record 8
# YAg2Cl (GGA-PBE, optimized geometry)
# * uncorrected formation energy: -0.414 eV/atom
# * volume: 23.09 Å³/atom
# * energy relative to the lowest polymorph listed for this composition: 162 meV per atom
data_YAg2Cl
_symmetry_space_group_name_H-M 'I m m 2'
_symmetry_Int_Tables_number 44
_symmetry_space_group_name_Hall 'I 2 -2'
_cell_length_a 3.860
_cell_length_b 5.374
_cell_length_c 8.907
_cell_angle_alpha 90.00
_cell_angle_beta 90.00
_cell_angle_gamma 90.00
loop_
_atom_site_label
_atom_site_type_symbol
_atom_site_fract_x
_atom_site_fract_y
_atom_site_fract_z
Y1 Y 0.000 0.000 0.000
Ag1 Ag 0.000 0.000 0.517
Ag2 Ag 0.000 0.500 0.771
Cl1 Cl 0.000 0.500 0.285

=====

Record 9
# YAgCl2 (GGA-PBE, optimized geometry)
# * uncorrected formation energy: -1.094 eV/atom
# * volume: 28.89 Å³/atom
# * energy relative to the lowest polymorph listed for this composition: 151 meV per atom
data_YAgCl2
_symmetry_space_group_name_H-M 'P 4/m m m'
_symmetry_Int_Tables_number 123
_symmetry_space_group_name_Hall '-P 4 2'
_cell_length_a 3.301
_cell_length_b 3.301
_cell_length_c 10.605
_cell_angle_alpha 90.00
_cell_angle_beta 90.00
_cell_angle_gamma 90.00
loop_
_atom_site_label
_atom_site_type_symbol
_atom_site_fract_x
_atom_site_fract_y
_atom_site_fract_z
Y1 Y 0.000 0.000 0.000
Ag1 Ag 0.000 0.000 0.500
Cl1 Cl 0.500 0.500 0.150

=====

Record 10
# YAgCl2 (GGA-PBE, optimized geometry)
# * uncorrected formation energy: -0.916 eV/atom
# * volume: 25.46 Å³/atom
# * energy relative to the lowest polymorph listed for this composition: 330 meV per atom
data_YAgCl2
_symmetry_space_group_name_H-M 'C 1 2 1'
_symmetry_Int_Tables_number 5
_symmetry_space_group_name_Hall 'C 2y'
_cell_length_a 6.069
_cell_length_b 7.559
_cell_length_c 5.113
_cell_angle_alpha 90.00
_cell_angle_beta 119.75
_cell_angle_gamma 90.00
loop_
_atom_site_label
_atom_site_type_symbol
_atom_site_fract_x
_atom_site_fract_y
_atom_site_fract_z
Y1 Y 0.000 0.000 0.000
Ag1 Ag 0.000 0.324 0.500
Cl1 Cl 0.000 0.643 0.000
Cl2 Cl 0.000 0.900 0.500

=====

Record 11
# YAg2Cl (GGA-PBE, optimized geometry)
# * uncorrected formation energy: -0.505 eV/atom
# * volume: 21.62 Å³/atom
# * energy relative to the lowest polymorph listed for this composition: 71 meV per atom
data_YAg2Cl
_symmetry_space_group_name_H-M 'I 4/m m m'
_symmetry_Int_Tables_number 139
_symmetry_space_group_name_Hall '-I 4 2'
_cell_length_a 3.935
_cell_length_b 3.935
_cell_length_c 11.168
_cell_angle_alpha 90.00
_cell_angle_beta 90.00
_cell_angle_gamma 90.00
loop_
_atom_site_label
_atom_site_type_symbol
_atom_site_fract_x
_atom_site_fract_y
_atom_site_fract_z
Y1 Y 0.000 0.000 0.000
Ag1 Ag 0.000 0.500 0.250
Cl1 Cl 0.000 0.000 0.500

=====

Record 12
# YAgCl2 (GGA-PBE, optimized geometry)
# * uncorrected formation energy: -1.205 eV/atom
# * volume: 31.72 Å³/atom
# * energy relative to the lowest polymorph listed for this composition: 40 meV per atom
data_YAgCl2
_symmetry_space_group_name_H-M 'C 1 2/m 1'
_symmetry_Int_Tables_number 12
_symmetry_space_group_name_Hall '-C 2y'
_cell_length_a 14.080
_cell_length_b 3.631
_cell_length_c 5.339
_cell_angle_alpha 90.00
_cell_angle_beta 111.63
_cell_angle_gamma 90.00
loop_
_atom_site_label
_atom_site_type_symbol
_atom_site_fract_x
_atom_site_fract_y
_atom_site_fract_z
Y1 Y 0.000 0.000 0.000
Ag1 Ag 0.000 0.500 0.500
Cl1 Cl 0.149 0.500 0.144

=====

Record 13
# YAgCl2 (GGA-PBE, optimized geometry)
# * uncorrected formation energy: -1.083 eV/atom
# * volume: 27.45 Å³/atom
# * energy relative to the lowest polymorph listed for this composition: 163 meV per atom
data_YAgCl2
_symmetry_space_group_name_H-M 'R 3 m'
_symmetry_Int_Tables_number 160
_symmetry_space_group_name_Hall 'R 3 -2"'
_cell_length_a 4.0317
_cell_length_b 4.0317
_cell_length_c 23.3999
_cell_angle_alpha 90.00
_cell_angle_beta 90.00
_cell_angle_gamma 120.00
loop_
_atom_site_label
_atom_site_type_symbol
_atom_site_fract_x
_atom_site_fract_y
_atom_site_fract_z
Y1 Y 0.0000 0.0000 0.0000
Ag1 Ag 0.0000 0.0000 0.7443
Cl1 Cl 0.0000 0.0000 0.2676
Cl2 Cl 0.0000 0.0000 0.4701

=====

Record 14
# YAg3Cl6 (GGA-PBE, optimized geometry)
# * uncorrected formation energy: -1.150 eV/atom
# * volume: 25.40 Å³/atom
# * energy relative to the lowest polymorph listed for this composition: 7 meV per atom
data_YAg3Cl6
_symmetry_space_group_name_H-M 'P 1 21/c 1'
_symmetry_Int_Tables_number 14
_symmetry_space_group_name_Hall '-P 2ybc'
_cell_length_a 6.942
_cell_length_b 6.898
_cell_length_c 12.521
_cell_angle_alpha 90.00
_cell_angle_beta 122.09
_cell_angle_gamma 90.00
loop_
_atom_site_label
_atom_site_type_symbol
_atom_site_fract_x
_atom_site_fract_y
_atom_site_fract_z
Y1 Y 0.000 0.000 0.000
Ag1 Ag 0.266 0.038 0.759
Ag2 Ag 0.500 0.000 0.500
Cl1 Cl 0.071 0.177 0.412
Cl2 Cl 0.275 0.673 0.442
Cl3 Cl 0.351 0.102 0.230

=====

Record 15
# YAgCl4 (GGA-PBE, optimized geometry)
# * uncorrected formation energy: -1.645 eV/atom
# * volume: 31.03 Å³/atom
# * energy relative to the lowest polymorph listed for this composition: 1 meV per atom
data_YAgCl4
_symmetry_space_group_name_H-M 'C 1 2/c 1'
_symmetry_Int_Tables_number 15
_symmetry_space_group_name_Hall '-C 2yc'
_cell_length_a 8.346
_cell_length_b 15.823
_cell_length_c 6.732
_cell_angle_alpha 90.00
_cell_angle_beta 123.11
_cell_angle_gamma 90.00
loop_
_atom_site_label
_atom_site_type_symbol
_atom_site_fract_x
_atom_site_fract_y
_atom_site_fract_z
Y1 Y 0.000 0.071 0.250
Ag1 Ag 0.000 0.311 0.750
Cl1 Cl 0.190 0.194 0.205
Cl2 Cl 0.220 0.046 0.716

=====

Record 16
# YAg2Cl (GGA-PBE, optimized geometry)
# * uncorrected formation energy: -0.575 eV/atom
# * volume: 24.50 Å³/atom
# * energy relative to the lowest polymorph listed for this composition: 1 meV per atom
data_YAg2Cl
_symmetry_space_group_name_H-M 'P 4 m m'
_symmetry_Int_Tables_number 99
_symmetry_space_group_name_Hall 'P 4 -2'
_cell_length_a 3.380
_cell_length_b 3.380
_cell_length_c 8.577
_cell_angle_alpha 90.00
_cell_angle_beta 90.00
_cell_angle_gamma 90.00
loop_
_atom_site_label
_atom_site_type_symbol
_atom_site_fract_x
_atom_site_fract_y
_atom_site_fract_z
Y1 Y 0.000 0.000 0.000
Ag1 Ag 0.000 0.000 0.417
Ag2 Ag 0.500 0.500 0.234
Cl1 Cl 0.500 0.500 0.812

=====

Record 17
# YAgCl (GGA-PBE, optimized geometry)
# * uncorrected formation energy: -0.797 eV/atom
# * volume: 26.79 Å³/atom
# * energy relative to the lowest polymorph listed for this composition: 16 meV per atom
data_YAgCl
_symmetry_space_group_name_H-M 'I 4 m m'
_symmetry_Int_Tables_number 107
_symmetry_space_group_name_Hall 'I 4 -2'
_cell_length_a 3.410
_cell_length_b 3.410
_cell_length_c 13.826
_cell_angle_alpha 90.00
_cell_angle_beta 90.00
_cell_angle_gamma 90.00
loop_
_atom_site_label
_atom_site_type_symbol
_atom_site_fract_x
_atom_site_fract_y
_atom_site_fract_z
Y1 Y 0.000 0.000 0.000
Ag1 Ag 0.000 0.000 0.642
Cl1 Cl 0.000 0.000 0.386

=====

Record 18
# YAg2Cl (GGA-PBE, optimized geometry)
# * uncorrected formation energy: -0.541 eV/atom
# * volume: 21.98 Å³/atom
# * energy relative to the lowest polymorph listed for this composition: 35 meV per atom
data_YAg2Cl
_symmetry_space_group_name_H-M 'I m m m'
_symmetry_Int_Tables_number 71
_symmetry_space_group_name_Hall '-I 2 2'
_cell_length_a 3.278
_cell_length_b 4.646
_cell_length_c 11.551
_cell_angle_alpha 90.00
_cell_angle_beta 90.00
_cell_angle_gamma 90.00
loop_
_atom_site_label
_atom_site_type_symbol
_atom_site_fract_x
_atom_site_fract_y
_atom_site_fract_z
Y1 Y 0.000 0.000 0.000
Ag1 Ag 0.000 0.500 0.265
Cl1 Cl 0.000 0.000 0.500

=====

Record 19
# YAg2Cl (GGA-PBE, optimized geometry)
# * uncorrected formation energy: -0.468 eV/atom
# * volume: 23.74 Å³/atom
# * energy relative to the lowest polymorph listed for this composition: 108 meV per atom
data_YAg2Cl
_symmetry_space_group_name_H-M 'I -4 2 d'
_symmetry_Int_Tables_number 122
_symmetry_space_group_name_Hall 'I -4 2bw'
_cell_length_a 8.356
_cell_length_b 8.356
_cell_length_c 5.439
_cell_angle_alpha 90.00
_cell_angle_beta 90.00
_cell_angle_gamma 90.00
loop_
_atom_site_label
_atom_site_type_symbol
_atom_site_fract_x
_atom_site_fract_y
_atom_site_fract_z
Y1 Y 0.000 0.000 0.000
Ag1 Ag 0.239 0.250 0.625
Cl1 Cl 0.000 0.000 0.500

=====

Record 20
# YAg2Cl5 (GGA-PBE, optimized geometry)
# * uncorrected formation energy: -1.341 eV/atom
# * volume: 27.48 Å³/atom
data_YAg2Cl5
_symmetry_space_group_name_H-M 'C 1 2/c 1'
_symmetry_Int_Tables_number 15
_symmetry_space_group_name_Hall '-C 2yc'
_cell_length_a 13.126
_cell_length_b 7.343
_cell_length_c 9.876
_cell_angle_alpha 90.00
_cell_angle_beta 112.51
_cell_angle_gamma 90.00
loop_
_atom_site_label
_atom_site_type_symbol
_atom_site_fract_x
_atom_site_fract_y
_atom_site_fract_z
Y1 Y 0.000 0.000 0.000
Ag1 Ag 0.129 0.436 0.193
Cl1 Cl 0.000 0.143 0.750
Cl2 Cl 0.077 0.320 0.452
Cl3 Cl 0.205 0.119 0.135

=====

| no. | total moment (μB per formula unit) |
| --- | --- |
| 1 | 0.00 |
| 2 | 0.74 |
| 3 | 0.00 |
| 4 | 0.00 |
| 5 | 0.00 |
| 6 | 0.00 |
| 7 | 0.00 |
| 8 | 0.00 |
| 9 | 0.13 |
| 10 | 0.00 |
| 11 | 0.00 |
| 12 | 0.00 |
| 13 | 0.00 |
| 14 | 0.00 |
| 15 | 0.00 |
| 16 | 0.00 |
| 17 | 0.08 |
| 18 | 0.00 |
| 19 | 0.00 |
| 20 | 0.00 |